Record 1
# PBE-GGA Sr2LiPd2, relaxed
# Total energy   -3.658 eV/atom
data_Sr2LiPd2
_chemical_formula_sum 'Sr8 Li4 Pd8'
_space_group_name_H-M_alt 'C 1 2/c 1'
_space_group_IT_number 15
_space_group_name_Hall '-C 2yc'
_cell_length_a 10.402
_cell_length_b 5.973
_cell_length_c 8.208
_cell_angle_alpha 90.00
_cell_angle_beta 103.10
_cell_angle_gamma 90.00
loop_
_atom_site_label
_atom_site_type_symbol
_atom_site_fract_x
_atom_site_fract_y
_atom_site_fract_z
Sr1 Sr 0.150 0.136 0.151
Li1 Li 0.000 0.393 0.750
Pd1 Pd 0.130 0.366 0.504

---

Record 2
# PBE-GGA KNiSn, relaxed
# Total energy   -2.391 eV/atom
data_KNiSn
_chemical_formula_sum 'K4 Ni4 Sn4'
_space_group_name_H-M_alt 'F -4 3 m'
_space_group_IT_number 216
_space_group_name_Hall 'F -4 2 3'
_cell_length_a 7.140
_cell_length_b 7.140
_cell_length_c 7.140
_cell_angle_alpha 90.00
_cell_angle_beta 90.00
_cell_angle_gamma 90.00
loop_
_atom_site_label
_atom_site_type_symbol
_atom_site_fract_x
_atom_site_fract_y
_atom_site_fract_z
K1 K 0.000 0.000 0.000
Ni1 Ni 0.250 0.250 0.750
Sn1 Sn 0.250 0.250 0.250

---

Record 3
# PBE-GGA Pm2HfAs3, relaxed
# Total energy   -6.906 eV/atom
data_Pm2HfAs3
_chemical_formula_sum 'Pm2 Hf1 As3'
_space_group_name_H-M_alt 'P -3 m 1'
_space_group_IT_number 164
_space_group_name_Hall '-P 3 2"'
_cell_length_a 4.0743
_cell_length_b 4.0743
_cell_length_c 10.0825
_cell_angle_alpha 90.00
_cell_angle_beta 90.00
_cell_angle_gamma 120.00
loop_
_atom_site_label
_atom_site_type_symbol
_atom_site_fract_x
_atom_site_fract_y
_atom_site_fract_z
Pm1 Pm 0.3333 0.6667 0.3241
Hf1 Hf 0.0000 0.0000 0.0000
As1 As 0.0000 0.0000 0.5000
As2 As 0.3333 0.6667 0.8541

---

Record 4
# PBE-GGA GaCu2As, relaxed
# Total energy   -3.631 eV/atom
data_GaCu2As
_chemical_formula_sum 'Ga4 Cu8 As4'
_space_group_name_H-M_alt 'P m -3 m'
_space_group_IT_number 221
_space_group_name_Hall '-P 4 2 3'
_cell_length_a 6.222
_cell_length_b 6.222
_cell_length_c 6.222
_cell_angle_alpha 90.00
_cell_angle_beta 90.00
_cell_angle_gamma 90.00
loop_
_atom_site_label
_atom_site_type_symbol
_atom_site_fract_x
_atom_site_fract_y
_atom_site_fract_z
Ga1 Ga 0.000 0.000 0.000
Ga2 Ga 0.000 0.000 0.500
Cu1 Cu 0.244 0.244 0.244
As1 As 0.000 0.500 0.500
As2 As 0.500 0.500 0.500